Entry 1:
This record from the Alexandria database describes crystalline Be2C at its relaxed geometry. The functional is PBE.

Computed properties:
Offset from the most stable computed form   75.4 kJ/mol of atoms

Unit cell a=4.311 b=4.311 c=4.761 alpha=90.00 beta=90.00 gamma=90.00
Space group I4/mcm (No. 140)
Unique sites:
Be  0.228  0.272  0.000 [8 per cell]
C  0.000  0.000  0.250 [4 per cell]

---

Entry 2:
This record from the Alexandria database describes crystalline Be2C at its relaxed geometry. The functional is PBE.

Computed properties:
Offset from the most stable computed form   48.7 kJ/mol of atoms

Unit cell a=3.028 b=3.049 c=5.335 alpha=91.18 beta=90.08 gamma=119.72
Space group P1 (No. 1)
Unique sites:
Be  0.000  0.000  0.000 [1 per cell]
Be  0.024  0.044  0.445 [1 per cell]
Be  0.340  0.677  0.725 [1 per cell]
Be  0.679  0.357  0.223 [1 per cell]
C  0.653  0.309  0.882 [1 per cell]
C  0.704  0.402  0.561 [1 per cell]

---

Entry 3:
This record from the Alexandria database describes crystalline Be2C at its relaxed geometry. The functional is PBE.

Computed properties:
Offset from the most stable computed form   43.5 kJ/mol of atoms

Unit cell a=2.9840 b=2.9840 c=4.2267 alpha=90.00 beta=90.00 gamma=120.00
Space group P-3m1 (No. 164)
Unique sites:
Be  0.3333  0.6667  0.3886 [2 per cell]
C  0.0000  0.0000  0.5000 [1 per cell]

---

Entry 4:
This record from the Alexandria database describes crystalline BeC3 at its relaxed geometry. The functional is PBE.

Computed properties:
Offset from the most stable computed form   41.8 kJ/mol of atoms

Unit cell a=3.491 b=2.477 c=3.630 alpha=90.00 beta=109.74 gamma=90.00
Space group P2/m (No. 10)
Unique sites:
Be  0.000  0.000  0.000 [1 per cell]
C  0.000  0.000  0.500 [1 per cell]
C  0.285  0.500  0.421 [2 per cell]

---

Entry 5:
This record from the Alexandria database describes crystalline BeC3 at its relaxed geometry. The functional is PBE.

Computed properties:
Offset from the most stable computed form   103.2 kJ/mol of atoms

Unit cell a=3.0268 b=3.0268 c=3.8430 alpha=90.00 beta=90.00 gamma=120.00
Space group P-6m2 (No. 187)
Unique sites:
Be  0.0000  0.0000  0.0000 [1 per cell]
C  0.0000  0.0000  0.5000 [1 per cell]
C  0.6667  0.3333  0.1765 [2 per cell]

---

Entry 6:
This record from the Alexandria database describes crystalline BeC3 at its relaxed geometry. The functional is PBE.

Computed properties:
Offset from the most stable computed form   106.6 kJ/mol of atoms

Unit cell a=2.523 b=3.139 c=8.716 alpha=90.00 beta=90.00 gamma=90.00
Space group Immm (No. 71)
Unique sites:
Be  0.000  0.000  0.000 [2 per cell]
C  0.000  0.000  0.500 [2 per cell]
C  0.000  0.500  0.116 [4 per cell]

---

Entry 7:
This record from the Alexandria database describes crystalline Be2C at its relaxed geometry. The functional is PBE.

Computed properties:
Offset from the most stable computed form   104.0 kJ/mol of atoms

Unit cell a=9.471 b=2.439 c=2.109 alpha=90.00 beta=102.74 gamma=90.00
Space group C2/m (No. 12)
Unique sites:
Be  0.158  0.000  0.157 [4 per cell]
C  0.000  0.000  0.500 [2 per cell]

---

Entry 8:
This record from the Alexandria database describes crystalline Be2C at its relaxed geometry. The functional is PBE.

Computed properties:
Offset from the most stable computed form   179.1 kJ/mol of atoms

Unit cell a=3.2202 b=3.2202 c=2.5542 alpha=90.00 beta=90.00 gamma=120.00
Space group P6/mmm (No. 191)
Unique sites:
Be  0.3333  0.6667  0.0000 [2 per cell]
C  0.0000  0.0000  0.5000 [1 per cell]

---

Entry 9:
This record from the Alexandria database describes crystalline Be2C at its relaxed geometry. The functional is PBE.

Computed properties:
Offset from the most stable computed form   159.5 kJ/mol of atoms

Unit cell a=4.2333 b=4.2333 c=6.2601 alpha=90.00 beta=90.00 gamma=120.00
Space group P6_3/mmc (No. 194)
Unique sites:
Be  0.0000  0.0000  0.0000 [2 per cell]
Be  0.1747  0.3495  0.2500 [6 per cell]
C  0.3333  0.6667  0.0053 [4 per cell]

---

Entry 10:
This record from the Alexandria database describes crystalline Be2C at its relaxed geometry. The functional is PBE.

Computed properties:
Offset from the most stable computed form   20.9 kJ/mol of atoms

Unit cell a=3.991 b=3.991 c=2.922 alpha=90.00 beta=90.00 gamma=90.00
Space group P4_2/mnm (No. 136)
Unique sites:
Be  0.188  0.188  0.000 [4 per cell]
C  0.000  0.000  0.500 [2 per cell]

---

Entry 11:
This record from the Alexandria database describes crystalline BeC3 at its relaxed geometry. The functional is PBE.

Computed properties:
Offset from the most stable computed form   125.6 kJ/mol of atoms

Unit cell a=3.6918 b=3.6918 c=11.8413 alpha=90.00 beta=90.00 gamma=120.00
Space group P6_3/mmc (No. 194)
Unique sites:
Be  0.0000  0.0000  0.0000 [2 per cell]
Be  0.3333  0.6667  0.2500 [2 per cell]
C  0.0000  0.5000  0.0000 [6 per cell]
C  0.2046  0.4092  0.7500 [6 per cell]

---

Entry 12:
This record from the Alexandria database describes crystalline BeC7 at its relaxed geometry. The functional is PBE.

Unit cell a=6.098 b=6.098 c=6.098 alpha=90.00 beta=90.00 gamma=90.00
Space group Fm-3m (No. 225)
Unique sites:
Be  0.000  0.000  0.000 [4 per cell]
C  0.000  0.000  0.500 [4 per cell]
C  0.000  0.250  0.250 [24 per cell]

---

Entry 13:
This record from the Alexandria database describes crystalline BeC3 at its relaxed geometry. The functional is PBE.

Computed properties:
Offset from the most stable computed form   195.8 kJ/mol of atoms

Unit cell a=3.791 b=3.791 c=3.791 alpha=90.00 beta=90.00 gamma=90.00
Space group Pm-3n (No. 223)
Unique sites:
Be  0.000  0.000  0.000 [2 per cell]
C  0.000  0.250  0.500 [6 per cell]

---

Entry 14:
This record from the Alexandria database describes crystalline Be2C at its relaxed geometry. The functional is PBE.

Computed properties:
Offset from the most stable computed form   119.8 kJ/mol of atoms

Unit cell a=2.304 b=2.304 c=8.640 alpha=90.00 beta=90.00 gamma=90.00
Space group I4/mmm (No. 139)
Unique sites:
Be  0.000  0.000  0.137 [4 per cell]
C  0.000  0.000  0.500 [2 per cell]

---

Entry 15:
This record from the Alexandria database describes crystalline Be2C at its relaxed geometry. The functional is PBE.

Computed properties:
Offset from the most stable computed form   76.5 kJ/mol of atoms

Unit cell a=2.828 b=10.963 c=2.839 alpha=90.00 beta=90.00 gamma=90.00
Space group Cmcm (No. 63)
Unique sites:
Be  0.000  0.092  0.250 [4 per cell]
Be  0.000  0.254  0.750 [4 per cell]
C  0.000  0.358  0.250 [4 per cell]

---

Entry 16:
This record from the Alexandria database describes crystalline Be2C at its relaxed geometry. The functional is PBE.

Computed properties:
Offset from the most stable computed form   30.4 kJ/mol of atoms

Unit cell a=4.938 b=2.993 c=5.753 alpha=90.00 beta=90.00 gamma=90.00
Space group Pnma (No. 62)
Unique sites:
Be  0.048  0.250  0.115 [4 per cell]
Be  0.119  0.750  0.405 [4 per cell]
C  0.245  0.750  0.074 [4 per cell]

---

Entry 17:
This record from the Alexandria database describes crystalline Be2C at its relaxed geometry. The functional is PBE.

Computed properties:
Offset from the most stable computed form   87.8 kJ/mol of atoms

Unit cell a=2.811 b=2.811 c=22.301 alpha=90.00 beta=90.00 gamma=90.00
Space group I4_1/amd (No. 141, origin choice 2)
Unique sites:
Be  0.000  0.250  0.122 [8 per cell]
Be  0.000  0.250  0.298 [8 per cell]
C  0.000  0.250  0.816 [8 per cell]

---

Entry 18:
This record from the Alexandria database describes crystalline BeC3 at its relaxed geometry. The functional is PBE.

Computed properties:
Offset from the most stable computed form   77.3 kJ/mol of atoms

Unit cell a=2.303 b=7.930 c=4.994 alpha=90.00 beta=90.00 gamma=90.00
Space group Cmmm (No. 65)
Unique sites:
Be  0.000  0.000  0.000 [2 per cell]
C  0.000  0.000  0.500 [2 per cell]
C  0.000  0.500  0.302 [4 per cell]

---

Entry 19:
This record from the Alexandria database describes crystalline BeC3 at its relaxed geometry. The functional is PBE.

Computed properties:
Offset from the most stable computed form   132.9 kJ/mol of atoms

Unit cell a=2.838 b=2.838 c=3.764 alpha=90.00 beta=90.00 gamma=90.00
Space group P4/mmm (No. 123)
Unique sites:
Be  0.000  0.000  0.000 [1 per cell]
C  0.000  0.000  0.500 [1 per cell]
C  0.500  0.500  0.175 [2 per cell]

---

Entry 20:
This record from the Alexandria database describes crystalline Be5C3 at its relaxed geometry. The functional is PBE.

Computed properties:
Offset from the most stable computed form   0.0 kJ/mol of atoms

Unit cell a=4.505 b=9.910 c=5.605 alpha=90.00 beta=97.12 gamma=90.00
Space group Cm (No. 8)
Unique sites:
Be  0.000  0.000  0.000 [2 per cell]
Be  0.005  0.500  0.057 [2 per cell]
Be  0.090  0.153  0.283 [4 per cell]
Be  0.201  0.392  0.478 [4 per cell]
Be  0.382  0.111  0.732 [4 per cell]
Be  0.386  0.306  0.834 [4 per cell]
C  0.187  0.500  0.758 [2 per cell]
C  0.239  0.149  0.993 [4 per cell]
C  0.344  0.500  0.276 [2 per cell]
C  0.386  0.234  0.513 [4 per cell]

---

Entry 21:
This record from the Alexandria database describes crystalline BeC3 at its relaxed geometry. The functional is PBE.

Computed properties:
Offset from the most stable computed form   62.0 kJ/mol of atoms

Unit cell a=4.443 b=14.712 c=2.373 alpha=90.00 beta=90.00 gamma=90.00
Space group Cmcm (No. 63)
Unique sites:
Be  0.000  0.171  0.250 [4 per cell]
C  0.000  0.299  0.750 [4 per cell]
C  0.156  0.361  0.250 [8 per cell]

---

Entry 22:
This record from the Alexandria database describes crystalline Be2C at its relaxed geometry. The functional is PBE.

Computed properties:
Offset from the most stable computed form   91.7 kJ/mol of atoms

Unit cell a=2.6947 b=2.6947 c=9.1315 alpha=90.00 beta=90.00 gamma=120.00
Space group P6_3/mmc (No. 194)
Unique sites:
Be  0.0000  0.0000  0.1483 [4 per cell]
C  0.3333  0.6667  0.2500 [2 per cell]

---

Entry 23:
This record from the Alexandria database describes crystalline Be5C3 at its relaxed geometry. The functional is PBE.

Computed properties:
Offset from the most stable computed form   59.4 kJ/mol of atoms

Unit cell a=2.634 b=2.634 c=8.229 alpha=90.00 beta=90.00 gamma=90.00
Space group P4/mmm (No. 123)
Unique sites:
Be  0.000  0.000  0.000 [1 per cell]
Be  0.000  0.000  0.255 [2 per cell]
Be  0.500  0.500  0.388 [2 per cell]
C  0.000  0.000  0.500 [1 per cell]
C  0.500  0.500  0.175 [2 per cell]

---

Entry 24:
This record from the Alexandria database describes crystalline Be2C at its relaxed geometry. The functional is PBE.

Computed properties:
Offset from the most stable computed form   21.1 kJ/mol of atoms

Unit cell a=3.294 b=3.294 c=9.796 alpha=90.00 beta=90.00 gamma=90.00
Space group I4_1/amd (No. 141, origin choice 2)
Unique sites:
Be  0.000  0.250  0.062 [8 per cell]
C  0.000  0.250  0.875 [4 per cell]

---

Entry 25:
This record from the Alexandria database describes crystalline Be2C at its relaxed geometry. The functional is PBE.

Computed properties:
Offset from the most stable computed form   59.4 kJ/mol of atoms

Unit cell a=4.644 b=4.648 c=3.976 alpha=90.00 beta=124.90 gamma=90.00
Space group C2 (No. 5)
Unique sites:
Be  0.249  0.000  0.498 [4 per cell]
C  0.000  0.250  0.500 [2 per cell]

---

Entry 26:
This record from the Alexandria database describes crystalline BeC3 at its relaxed geometry. The functional is PBE.

Computed properties:
Offset from the most stable computed form   29.3 kJ/mol of atoms

Unit cell a=3.065 b=5.730 c=4.466 alpha=90.00 beta=90.00 gamma=90.00
Space group Imm2 (No. 44)
Unique sites:
Be  0.000  0.000  0.000 [2 per cell]
C  0.000  0.272  0.159 [4 per cell]
C  0.000  0.500  0.174 [2 per cell]

---

The following total moment values (in μB per formula unit) correspond, in order, to the records above: 0.0; 0.0; 0.0; 0.0; 0.0; 0.0; 0.0; 0.0; 0.0; 0.0; 0.0; 0.0; 0.0; 0.0; 0.0; 0.0; 0.0; 0.0; 0.0; 0.0; 0.0; 0.0; 0.0; 0.0; 0.0; 0.0.
The following energy of formation values (in eV per formula unit) correspond, in order, to the records above: 1.6; 0.8; 0.6; 5.4; 7.9; 8.0; 2.5; 4.8; 4.2; -0.1; 8.8; 29.9; 11.7; 3.0; 1.7; 0.2; 2.0; 6.8; 9.1; 2.6; 6.2; 2.1; 7.5; -0.1; 1.1; 4.8.